VASP calculation (PBE-GGA) on an optimized crystal structure of NdDy4Ag2.

Output
Calculated volume = 31.3 A^3/atom
Magnetization = 1.2 μB/cell
DFT formation energy = 170 meV/atom

Structure (POSCAR):
```
NdDy4Ag2
1.0
-4.081 -1.844 -2.067
0.203 -1.994 -4.506
0.779 -10.576 2.015
Dy Ag Nd
4 2 1
Direct
0.897 0.897 0.309
0.103 0.103 0.691
0.299 0.299 0.104
0.701 0.701 0.896
0.398 0.398 0.807
0.602 0.602 0.193
0.500 0.500 0.500
```

***

VASP calculation (PBE-GGA) on an optimized crystal structure of CaNbGe2I.

Output
Calculated volume = 29.4 A^3/atom
Formation energy (no corrections) = 7.235 eV/f.u.
Magnetization = 0.0 μB/cell

Structure (POSCAR):
```
CaNbGe2I
1.0
5.412 0.000 0.000
0.000 5.019 0.000
0.000 0.000 5.412
Ca Nb I Ge
1 1 1 2
Direct
0.000 0.000 0.000
0.000 0.500 0.000
0.500 0.500 0.500
0.500 0.000 0.000
0.000 0.000 0.500
```

***

VASP calculation (PBE-GGA) on an optimized crystal structure of LaMnN3.

Output
Calculated volume = 13.0 A^3/atom
Formation energy (no corrections) = -2.912 eV/f.u.
Magnetization = 0.0 μB/cell

Structure (POSCAR):
```
LaMnN3
1.0
-15.332 2.132 -1.505
-0.691 -5.036 -0.097
3.447 -0.542 3.631
La N Mn
4 12 4
Direct
0.830 0.762 0.187
0.170 0.238 0.813
0.330 0.738 0.687
0.670 0.262 0.313
0.116 0.012 0.226
0.871 0.521 0.768
0.932 0.265 0.432
0.616 0.488 0.726
0.432 0.235 0.932
0.568 0.765 0.068
0.884 0.988 0.774
0.068 0.735 0.568
0.371 0.979 0.268
0.384 0.512 0.274
0.629 0.021 0.732
0.129 0.479 0.232
0.975 0.276 0.845
0.525 0.776 0.655
0.025 0.724 0.155
0.475 0.224 0.345
```

***

VASP calculation (PBE-GGA) on an optimized crystal structure of KGa2SnSe.

Output
Calculated volume = 33.6 A^3/atom
Formation energy (no corrections) = -0.089 eV/f.u.
Magnetization = 0.0 μB/cell

Structure (POSCAR):
```
KGa2SnSe
1.0
-0.921 -1.216 -5.186
5.519 1.014 -1.217
1.173 -5.180 1.006
Ga K Se Sn
2 1 1 1
Direct
0.500 0.000 0.000
0.000 0.000 0.500
0.500 0.500 0.500
0.000 0.500 0.000
0.000 0.000 0.000
```

***

VASP calculation (PBE-GGA) on an optimized crystal structure of LaBN2.

Output
Calculated volume = 14.1 A^3/atom
Formation energy (no corrections) = -4.707 eV/f.u.
Magnetization = 0.0 μB/cell

Structure (POSCAR):
```
LaBN2
1.0
-4.899 0.270 2.603
1.365 -4.545 -2.886
2.617 -2.507 5.186
B La N
3 3 6
Direct
0.000 0.736 0.167
0.264 0.264 0.500
0.736 0.000 0.833
0.357 0.357 0.000
0.000 0.643 0.667
0.643 0.000 0.333
0.752 0.625 0.265
0.625 0.752 0.735
0.375 0.127 0.598
0.248 0.873 0.069
0.873 0.248 0.931
0.127 0.375 0.402
```

***

VASP calculation (PBE-GGA) on an optimized crystal structure of Pr4Hg3N.

Output
Calculated volume = 28.5 A^3/atom
Formation energy (no corrections) = -4.541 eV/f.u.
Magnetization = 0.0 μB/cell

Structure (POSCAR):
```
Pr4Hg3N
1.0
-2.321 -0.101 -6.249
6.652 -0.432 -0.093
-2.515 -5.162 3.388
N Pr Hg
1 4 3
Direct
0.000 0.000 0.000
0.645 0.000 0.000
0.000 0.000 0.645
0.355 0.355 0.355
0.000 0.645 0.000
0.500 0.500 0.000
0.000 0.500 0.500
0.500 0.000 0.500
```

***

VASP calculation (PBE-GGA) on an optimized crystal structure of Er4HgAu3.

Output
Relative energy among the computed polymorphs = 2.6 meV per atom
Calculated volume = 24.0 A^3/atom
Magnetization = 0.0 μB/cell
DFT formation energy = -772 meV/atom

Structure (POSCAR):
```
Er4HgAu3
1.0
-2.954 -1.685 -1.412
2.179 -0.326 -4.167
4.178 -9.798 2.952
Au Er Hg
3 4 1
Direct
0.500 0.000 0.910
0.000 0.000 0.412
0.000 0.500 0.588
0.000 0.000 0.144
0.500 0.500 0.368
0.000 0.500 0.852
0.500 0.000 0.638
0.500 0.500 0.088
```

***

VASP calculation (PBE-GGA) on an optimized crystal structure of YCd2Ni.

Output
Calculated volume = 20.5 A^3/atom
Magnetization = 0.3 μB/cell
DFT formation energy = -95 meV/atom

Structure (POSCAR):
```
YCd2Ni
1.0
-0.541 -1.028 -3.143
-1.435 -2.796 1.162
-6.484 3.336 0.024
Ni Cd Y
1 2 1
Direct
0.500 0.500 0.250
0.000 0.000 0.448
0.000 0.000 0.052
0.500 0.500 0.750
```

***

Q: Which of these has the highest calculated volume?
A: KGa2SnSe

***

Q: Look up the calculated volume of the eighth one.
A: 20.5 A^3/atom

***

Q: What is the formula in the eighth record?
A: YCd2Ni